Entry 1:
A plane-wave DFT calculation with PBE was carried out for crystalline SrHfI2N at its relaxed geometry.

Density of states at the Fermi level (states/eV/f.u.): 3.96
E_form (uncorrected) (eV/atom): 0.839
Crystal system: tetragonal
Distance to the lowest polymorph of the same formula (eV/f.u.): 7.505
VASP energy (eV per atom): -3.77
Volume (Å³ per atom): 32.3

Cell: 6.156 6.156 4.265 Å, 90.00 90.00 90.00°
Element x y z (fractional)
I (0.000, 0.500, 0.000)
I (0.500, 0.000, 0.000)
Sr (0.000, 0.000, 0.000)
Hf (0.500, 0.500, 0.500)
N (0.000, 0.000, 0.500)

***

Entry 2:
A plane-wave DFT calculation with PBE was carried out for crystalline SrHfI2N at its relaxed geometry.

Density of states at the Fermi level (states/eV/f.u.): 2.08
E_form (uncorrected) (eV/atom): -0.662
Crystal system: tetragonal
Distance to the lowest polymorph of the same formula (eV/f.u.): 0.000
VASP energy (eV per atom): -5.27
Volume (Å³ per atom): 28.6

Cell: 5.909 5.909 4.100 Å, 90.00 90.00 90.00°
Element x y z (fractional)
I (0.000, 0.500, 0.000)
I (0.500, 0.000, 0.000)
Sr (0.500, 0.500, 0.500)
Hf (0.000, 0.000, 0.000)
N (0.000, 0.000, 0.500)